(1)
Entry from Alexandria via LeMat-Bulk: a geometry-optimized LaMoP2Ru structure (PBE).

Unit cell a=4.200 b=4.200 c=10.271 alpha=90.00 beta=90.00 gamma=90.00
Space group I-4m2 (No. 119)
Asymmetric unit:
La1 0.000 0.000 0.000
Mo1 0.000 0.500 0.250
P1 0.000 0.000 0.359
Ru1 0.000 0.500 0.750

The volume is 181.2 Å³ per cell. As for the magnetic moment: 0.000 μB per formula unit.

(2)
Entry from Alexandria via LeMat-Bulk: a geometry-optimized LaMoP2S structure (PBE).

Unit cell a=5.431 b=5.431 c=5.359 alpha=90.00 beta=90.00 gamma=90.00
Space group P4/mmm (No. 123)
Asymmetric unit:
La1 0.000 0.000 0.000
Mo1 0.500 0.500 0.500
P1 0.000 0.500 0.000
S1 0.000 0.000 0.500

The volume is 158.0 Å³ per cell. The offset from the most stable computed form comes out at 1757.9 meV per atom. As for the magnetic moment: 2.263 μB per formula unit.

| no. | electronic total energy (eV for the cell shown) |
| --- | --- |
| 1 | -80.534 |
| 2 | -25.001 |